The following is a SCAN calculation of a PBEsol-optimized structure of KTcNi2, from Alexandria via LeMat-Bulk.

Lattice parameters (Å, degrees): 9.691 9.691 9.691 15.81 15.81 15.81
Atoms (fractional coordinates):
K (0.000, 0.000, 0.000)
Tc (0.227, 0.227, 0.227)
Ni (0.492, 0.492, 0.492)
Ni (0.758, 0.758, 0.758)

DFT total energy, eV per atom: -18.14
D(E_F), states/eV/atom: 1.173
Calculated formation energy, eV per atom: 0.799